No. 1
Computed, not measured: a geometry-optimized MnH2Rh2 structure at the GGA-PBE level of DFT.

a b c (Å): 5.758 5.758 2.948
angles (deg): 90.00 90.00 90.00
Positions (direct):
Mn 0.000 0.000 0.000
Mn 0.500 0.500 0.000
H 0.207 0.293 0.000
H 0.293 0.793 0.000
H 0.707 0.207 0.000
H 0.793 0.707 0.000
Rh 0.168 0.668 0.500
Rh 0.332 0.168 0.500
Rh 0.668 0.832 0.500
Rh 0.832 0.332 0.500

Computed properties:
The calculation puts the energy above the lowest structure with this stoichiometry at 10.1 kJ/mol of atoms. Its symmetry is P4/mbm (127). The density of states at the Fermi level is 0.61 states/eV/atom. The value obtained for the spin magnetization is 6.4 Bohr magnetons per cell. The final energy comes out at -60.758 eV/cell.


No. 2
Computed, not measured: a geometry-optimized MnHRh structure at the GGA-PBE level of DFT.

a b c (Å): 5.079 5.079 4.512
angles (deg): 106.65 106.65 34.28
Positions (direct):
Mn 0.119 0.119 0.320
Mn 0.881 0.881 0.680
H 0.233 0.233 0.792
H 0.767 0.767 0.208
Rh 0.384 0.384 0.184
Rh 0.616 0.616 0.816

Computed properties:
Its symmetry is C2/m (12). The density of states at the Fermi level is 0.52 states/eV/atom. The value obtained for the spin magnetization is 8.7 Bohr magnetons per cell. The final energy comes out at -40.171 eV/cell.


No. 3
Computed, not measured: a geometry-optimized MnHRh structure at the GGA-PBE level of DFT.

a b c (Å): 3.639 3.639 2.623
angles (deg): 90.00 90.00 120.00
Positions (direct):
Mn 0.000 0.000 0.000
H 0.333 0.667 0.196
Rh 0.667 0.333 0.451

Computed properties:
Its symmetry is P3m1 (156). The density of states at the Fermi level is 0.70 states/eV/atom. The value obtained for the spin magnetization is 0.0 Bohr magnetons per cell. The final energy comes out at -18.698 eV/cell.


No. 4
Computed, not measured: a geometry-optimized MnH2Rh structure at the GGA-PBE level of DFT.

a b c (Å): 4.892 4.892 4.892
angles (deg): 131.93 131.93 70.34
Positions (direct):
Mn 0.000 0.000 0.000
Mn 0.750 0.250 0.500
H 0.104 0.625 0.979
H 0.375 0.354 0.479
H 0.646 0.125 0.021
H 0.875 0.896 0.521
Rh 0.250 0.750 0.500
Rh 0.500 0.500 0.000

Computed properties:
Its symmetry is I-42d (122). The density of states at the Fermi level is 0.78 states/eV/atom. The value obtained for the spin magnetization is 0.0 Bohr magnetons per cell. The final energy comes out at -45.212 eV/cell.


No. 5
Computed, not measured: a geometry-optimized MnH6Rh5 structure at the GGA-PBE level of DFT.

a b c (Å): 4.693 4.693 5.520
angles (deg): 89.82 89.62 61.65
Positions (direct):
Mn 0.000 0.000 0.000
H 0.188 0.189 0.260
H 0.189 0.188 0.739
H 0.499 0.502 0.758
H 0.501 0.498 0.242
H 0.811 0.812 0.261
H 0.812 0.811 0.740
Rh 0.000 0.000 0.500
Rh 0.329 0.329 0.997
Rh 0.336 0.336 0.497
Rh 0.664 0.664 0.503
Rh 0.671 0.671 0.003

Computed properties:
Its symmetry is P-1 (2). The density of states at the Fermi level is 0.66 states/eV/atom. The value obtained for the spin magnetization is 3.4 Bohr magnetons per cell. The final energy comes out at -64.672 eV/cell.


No. 6
Computed, not measured: a geometry-optimized MnH2Rh structure at the GGA-PBE level of DFT.

a b c (Å): 5.051 5.051 5.051
angles (deg): 31.24 31.24 31.24
Positions (direct):
Mn 0.000 0.000 0.000
H 0.391 0.391 0.391
H 0.601 0.601 0.601
Rh 0.824 0.824 0.824

Computed properties:
Its symmetry is R3m (160). The density of states at the Fermi level is 0.69 states/eV/atom. The value obtained for the spin magnetization is 1.4 Bohr magnetons per cell. The final energy comes out at -22.899 eV/cell.


No. 7
Computed, not measured: a geometry-optimized MnH3Rh3 structure at the GGA-PBE level of DFT.

a b c (Å): 3.978 3.978 3.978
angles (deg): 90.00 90.00 90.00
Positions (direct):
Mn 0.000 0.000 0.000
H 0.000 0.000 0.500
H 0.000 0.500 0.000
H 0.500 0.000 0.000
Rh 0.000 0.500 0.500
Rh 0.500 0.000 0.500
Rh 0.500 0.500 0.000

Computed properties:
Its symmetry is Pm-3m (221). The density of states at the Fermi level is 0.65 states/eV/atom. The value obtained for the spin magnetization is 4.8 Bohr magnetons per cell. The final energy comes out at -41.697 eV/cell.


No. 8
Computed, not measured: a geometry-optimized MnHRh2 structure at the GGA-PBE level of DFT.

a b c (Å): 7.442 7.442 7.442
angles (deg): 21.19 21.19 21.19
Positions (direct):
Mn 0.000 0.000 0.000
H 0.500 0.500 0.500
Rh 0.110 0.110 0.110
Rh 0.890 0.890 0.890

Computed properties:
The calculation puts the energy above the lowest structure with this stoichiometry at 25.7 kJ/mol of atoms. Its symmetry is R-3m (166). The density of states at the Fermi level is 1.15 states/eV/atom. The value obtained for the spin magnetization is 2.9 Bohr magnetons per cell. The final energy comes out at -26.054 eV/cell.


No. 9
Computed, not measured: a geometry-optimized MnH6Rh2 structure at the GGA-PBE level of DFT.

a b c (Å): 7.691 7.691 3.895
angles (deg): 90.00 90.00 120.00
Positions (direct):
Mn 0.000 0.000 0.000
Mn 0.333 0.667 0.493
Mn 0.667 0.333 0.507
H 0.086 0.227 0.257
H 0.108 0.591 0.225
H 0.141 0.914 0.257
H 0.218 0.779 0.758
H 0.221 0.439 0.758
H 0.227 0.086 0.743
H 0.409 0.517 0.225
H 0.439 0.221 0.242
H 0.483 0.892 0.225
H 0.517 0.409 0.775
H 0.561 0.782 0.758
H 0.591 0.108 0.775
H 0.773 0.859 0.257
H 0.779 0.218 0.242
H 0.782 0.561 0.242
H 0.859 0.773 0.743
H 0.892 0.483 0.775
H 0.914 0.141 0.743
Rh 0.000 0.359 0.000
Rh 0.000 0.692 0.500
Rh 0.308 0.308 0.500
Rh 0.359 0.000 0.000
Rh 0.641 0.641 0.000
Rh 0.692 0.000 0.500

Computed properties:
Its symmetry is P321 (150). The density of states at the Fermi level is 0.25 states/eV/atom. The value obtained for the spin magnetization is 11.1 Bohr magnetons per cell. The final energy comes out at -131.086 eV/cell.


No. 10
Computed, not measured: a geometry-optimized MnH2Rh2 structure at the GGA-PBE level of DFT.

a b c (Å): 5.677 5.677 5.677
angles (deg): 148.92 148.92 44.54
Positions (direct):
Mn 0.000 0.000 0.000
H 0.250 0.750 0.500
H 0.750 0.250 0.500
Rh 0.355 0.355 0.000
Rh 0.645 0.645 0.000

Computed properties:
The calculation puts the energy above the lowest structure with this stoichiometry at 0.0 kJ/mol of atoms. Its symmetry is I4/mmm (139). The density of states at the Fermi level is 0.60 states/eV/atom. The value obtained for the spin magnetization is 4.2 Bohr magnetons per cell. The final energy comes out at -30.903 eV/cell.


No. 11
Computed, not measured: a geometry-optimized MnHRh structure at the GGA-PBE level of DFT.

a b c (Å): 4.534 4.534 4.534
angles (deg): 145.97 145.97 48.89
Positions (direct):
Mn 0.000 0.000 0.000
H 0.544 0.544 0.000
Rh 0.291 0.291 0.000

Computed properties:
Its symmetry is I4mm (107). The density of states at the Fermi level is 0.77 states/eV/atom. The value obtained for the spin magnetization is 0.8 Bohr magnetons per cell. The final energy comes out at -19.304 eV/cell.


No. 12
Computed, not measured: a geometry-optimized MnH2Rh structure at the GGA-PBE level of DFT.

a b c (Å): 5.101 5.101 5.101
angles (deg): 32.24 32.24 32.24
Positions (direct):
Mn 0.000 0.000 0.000
H 0.381 0.381 0.381
H 0.619 0.619 0.619
Rh 0.500 0.500 0.500

Computed properties:
Its symmetry is R-3m (166). The density of states at the Fermi level is 0.42 states/eV/atom. The value obtained for the spin magnetization is 3.5 Bohr magnetons per cell. The final energy comes out at -23.229 eV/cell.


No. 13
Computed, not measured: a geometry-optimized MnHRuRh2 structure at the GGA-PBE level of DFT.

a b c (Å): 3.863 3.863 3.881
angles (deg): 90.00 90.00 90.00
Positions (direct):
Mn 0.000 0.000 0.000
H 0.500 0.500 0.500
Ru 0.500 0.500 0.000
Rh 0.000 0.500 0.500
Rh 0.500 0.000 0.500

Computed properties:
The calculation puts the energy above the lowest structure with this stoichiometry at 0.0 kJ/mol of atoms. Its symmetry is P4/mmm (123). The density of states at the Fermi level is 0.97 states/eV/atom. The value obtained for the spin magnetization is 2.4 Bohr magnetons per cell. The final energy comes out at -36.615 eV/cell.